[1]
Material: Sr3Tl4Au2
Method: DFT, PBE
State: relaxed

Cell: 6.517 6.517 9.821 Å, 112.18 112.18 45.03°
Fractional coordinates of all 9 atoms:
1 Sr 0.000 0.000 0.000
2 Sr 0.317 0.317 0.361
3 Sr 0.683 0.683 0.639
4 Tl 0.021 0.021 0.356
5 Tl 0.265 0.265 0.920
6 Tl 0.735 0.735 0.080
7 Tl 0.979 0.979 0.644
8 Au 0.401 0.401 0.730
9 Au 0.599 0.599 0.270

Results
Electronic total energy: -25.339 eV per cell
Formation energy: -0.475 eV per atom

=====

[2]
Material: RbOs
Method: DFT, PBE
State: relaxed

Cell: 4.969 4.969 4.969 Å, 60.00 60.00 60.00°
Fractional coordinates of all 2 atoms:
1 Rb 0.000 0.000 0.000
2 Os 0.500 0.500 0.500

Results
Electronic total energy: -6.164 eV per cell
Formation energy: 3.017 eV per atom
E above lowest polymorph: 2102.2 meV per atom

=====

[3]
Material: LaGa2SiTc2
Method: DFT, PBE
State: relaxed

Cell: 4.522 4.522 5.758 Å, 90.00 90.00 90.00°
Fractional coordinates of all 6 atoms:
1 La 0.000 0.000 0.000
2 Ga 0.500 0.500 0.242
3 Ga 0.500 0.500 0.758
4 Si 0.000 0.000 0.500
5 Tc 0.000 0.500 0.500
6 Tc 0.500 0.000 0.500

Results
Electronic total energy: -39.184 eV per cell
Formation energy from raw total energies: -2.05 eV/f.u.

=====

Question: Which formula does entry 1 have?
Answer: Sr3Tl4Au2

=====

Question: Look up the electronic total energy of the first one.
Answer: -25.339 eV per cell